! CaZn (PBE-GGA, optimized geometry); values from VASP
! Total moment   0.000 μB per formula unit
! Theoretical density   3.91 g/cm3
! SG   Fd-3m (227)
! Formation energy   -58 meV per atom
! Final energy   -6.783 eV per cell
&SYSTEM
  ibrav = 0, nat = 4, ntyp = 2
/
ATOMIC_SPECIES
Zn 65.41 Zn.upf
Ca 40.08 Ca.upf
CELL_PARAMETERS angstrom
-0.4761 4.0531 2.9254
-0.9691 -0.5375 4.8974
3.5404 1.0776 3.3936
ATOMIC_POSITIONS angstrom
Zn 0.2620 0.5743 1.4024
Zn 1.8333 4.0189 9.8141
Ca 0.7857 1.7224 4.2060
Ca 1.3096 2.8708 7.0105